No. 1
Entry from Alexandria: a relaxed InCo crystal (PBE).

Cell: 7.749 7.749 7.749 Å, 90.00 90.00 90.00°
Last column: magnetic moment on the atom in μB.
Atoms (fractional coordinates):
In: 0.707 0.293 0.707  -0.09
In: 0.793 0.793 0.793  -0.09
In: 0.207 0.793 0.207  -0.09
In: 0.207 0.207 0.793  -0.09
In: 0.707 0.707 0.293  -0.09
In: 0.293 0.707 0.707  -0.09
In: 0.793 0.207 0.207  -0.09
In: 0.293 0.293 0.293  -0.09
Co: 0.105 0.895 0.895  1.26
Co: 0.605 0.605 0.605  1.26
Co: 0.395 0.395 0.605  1.26
Co: 0.895 0.895 0.105  1.26
Co: 0.395 0.605 0.395  1.26
Co: 0.105 0.105 0.105  1.26
Co: 0.605 0.395 0.395  1.26
Co: 0.895 0.105 0.895  1.26

Results
Raw total energy = -69.4 eV per cell
Crystal system = cubic
E_form = 0.588 eV/atom

No. 2
Entry from Alexandria: a relaxed In3Co crystal (PBE).

Cell: 5.436 5.436 5.436 Å, 90.00 90.00 90.00°
Last column: magnetic moment on the atom in μB.
Atoms (fractional coordinates):
In: 0.750 0.500 0.000  -0.02
In: 0.000 0.750 0.500  -0.02
In: 0.000 0.250 0.500  -0.02
In: 0.500 0.000 0.250  -0.02
In: 0.500 0.000 0.750  -0.02
In: 0.250 0.500 0.000  -0.02
Co: 0.000 0.000 0.000  0.50
Co: 0.500 0.500 0.500  0.50

Results
Raw total energy = -28.1 eV per cell
Crystal system = cubic
E_form = 0.315 eV/atom

No. 3
Entry from Alexandria: a relaxed In5Co crystal (PBE).

Cell: 5.087 5.087 9.435 Å, 78.65 78.65 36.49°
Last column: magnetic moment on the atom in μB.
Atoms (fractional coordinates):
Co: 0.063 0.063 0.970  0.41
In: 0.254 0.254 0.379  0.00
In: 0.562 0.562 0.193  0.00
In: 0.955 0.955 0.572  0.00
In: 0.659 0.659 0.750  -0.01
In: 0.340 0.340 0.969  -0.01

Results
Raw total energy = -20.2 eV per cell
Crystal system = monoclinic
E_form = 0.104 eV/atom